VASP calculation (PBE+U) on a relaxed structure of NaMn4O8.

Calculated values
- VASP energy (eV/cell) = -90.06
- E above lowest polymorph (eV per atom) = 0.000

POSCAR file:
```
NaMn4O8
1.0
5.182 -2.913 0.000
5.182 2.913 0.000
-3.445 0.000 5.764
Na Mn O
1 4 8
direct
0.000 0.000 0.000
0.000 0.000 0.500
0.000 0.500 0.500
0.500 0.000 0.500
0.500 0.500 0.500
0.216 0.723 0.667
0.222 0.222 0.670
0.255 0.255 0.318
0.277 0.784 0.333
0.723 0.216 0.667
0.745 0.745 0.682
0.778 0.778 0.330
0.784 0.277 0.333
```